[1]
VASP calculation (PBE) on a relaxed structure of Ca4In16Co3.

Computed properties:
Spin magnetization ... 0.00 μB per formula unit
Formation enthalpy at 0 K ... -0.211 eV per atom
D(E_F) ... 9.2 states/eV/f.u.
Crystal system ... tetragonal

Structure (CIF):
```
data_Ca4In16Co3
_chemical_formula_sum 'Ca4 In16 Co3'
_cell_length_a 6.5968
_cell_length_b 6.5968
_cell_length_c 12.4149
_cell_angle_alpha 90.00
_cell_angle_beta 90.00
_cell_angle_gamma 90.00
_symmetry_space_group_name_H-M 'P 1'
_symmetry_Int_Tables_number 1
loop_
_symmetry_equiv_pos_as_xyz
'x,y,z'
loop_
_atom_site_label
_atom_site_type_symbol
_atom_site_fract_x
_atom_site_fract_y
_atom_site_fract_z
Co1 Co 0.0000 0.5000 0.5000
Co2 Co 0.0000 0.0000 0.0000
Co3 Co 0.5000 0.0000 0.5000
In1 In 0.7501 0.7501 0.6171
In2 In 0.2499 0.2499 0.3829
In3 In 0.7293 0.7293 0.0000
In4 In 0.2499 0.7501 0.6171
In5 In 0.5000 0.5000 0.7990
In6 In 0.2499 0.7501 0.3829
In7 In 0.2707 0.2707 0.0000
In8 In 0.0000 0.0000 0.7934
In9 In 0.7501 0.2499 0.6171
In10 In 0.2499 0.2499 0.6171
In11 In 0.7501 0.7501 0.3829
In12 In 0.0000 0.0000 0.2066
In13 In 0.5000 0.5000 0.2010
In14 In 0.7501 0.2499 0.3829
In15 In 0.2707 0.7293 0.0000
In16 In 0.7293 0.2707 0.0000
Ca1 Ca 0.5000 0.0000 0.1940
Ca2 Ca 0.5000 0.0000 0.8060
Ca3 Ca 0.0000 0.5000 0.8060
Ca4 Ca 0.0000 0.5000 0.1940
```



[2]
VASP calculation (PBE) on a relaxed structure of Ca2LaInCo.

Computed properties:
Spin magnetization ... 0.00 μB per formula unit
Formation enthalpy at 0 K ... -0.089 eV per atom
D(E_F) ... 5.5 states/eV/f.u.
Crystal system ... tetragonal

Structure (CIF):
```
data_Ca2LaInCo
_chemical_formula_sum 'Ca2 La1 In1 Co1'
_cell_length_a 5.4374
_cell_length_b 5.4374
_cell_length_c 5.1149
_cell_angle_alpha 90.00
_cell_angle_beta 90.00
_cell_angle_gamma 90.00
_symmetry_space_group_name_H-M 'P 1'
_symmetry_Int_Tables_number 1
loop_
_symmetry_equiv_pos_as_xyz
'x,y,z'
loop_
_atom_site_label
_atom_site_type_symbol
_atom_site_fract_x
_atom_site_fract_y
_atom_site_fract_z
In1 In 0.5000 0.5000 0.5000
Co1 Co 0.0000 0.0000 0.0000
La1 La 0.0000 0.0000 0.5000
Ca1 Ca 0.5000 0.0000 0.0000
Ca2 Ca 0.0000 0.5000 0.0000
```



[3]
VASP calculation (PBE) on a relaxed structure of CaMg2InCo.

Computed properties:
Spin magnetization ... 0.01 μB per formula unit
Formation enthalpy at 0 K ... -0.050 eV per atom
D(E_F) ... 3.1 states/eV/f.u.
Crystal system ... tetragonal

Structure (CIF):
```
data_CaMg2InCo
_chemical_formula_sum 'Ca1 Mg2 In1 Co1'
_cell_length_a 4.8864
_cell_length_b 4.8864
_cell_length_c 4.9505
_cell_angle_alpha 90.00
_cell_angle_beta 90.00
_cell_angle_gamma 90.00
_symmetry_space_group_name_H-M 'P 1'
_symmetry_Int_Tables_number 1
loop_
_symmetry_equiv_pos_as_xyz
'x,y,z'
loop_
_atom_site_label
_atom_site_type_symbol
_atom_site_fract_x
_atom_site_fract_y
_atom_site_fract_z
Mg1 Mg 0.5000 0.0000 0.0000
Mg2 Mg 0.0000 0.5000 0.0000
In1 In 0.0000 0.0000 0.5000
Co1 Co 0.0000 0.0000 0.0000
Ca1 Ca 0.5000 0.5000 0.5000
```



[4]
VASP calculation (PBE) on a relaxed structure of CaMgIn2Co.

Computed properties:
Spin magnetization ... 0.62 μB per formula unit
Formation enthalpy at 0 K ... -0.121 eV per atom
D(E_F) ... 3.5 states/eV/f.u.
Crystal system ... tetragonal

Structure (CIF):
```
data_CaMgIn2Co
_chemical_formula_sum 'Ca1 Mg1 In2 Co1'
_cell_length_a 4.9591
_cell_length_b 4.9591
_cell_length_c 4.8715
_cell_angle_alpha 90.00
_cell_angle_beta 90.00
_cell_angle_gamma 90.00
_symmetry_space_group_name_H-M 'P 1'
_symmetry_Int_Tables_number 1
loop_
_symmetry_equiv_pos_as_xyz
'x,y,z'
loop_
_atom_site_label
_atom_site_type_symbol
_atom_site_fract_x
_atom_site_fract_y
_atom_site_fract_z
In1 In 0.5000 0.0000 0.0000
In2 In 0.0000 0.5000 0.0000
Mg1 Mg 0.0000 0.0000 0.5000
Co1 Co 0.0000 0.0000 0.0000
Ca1 Ca 0.5000 0.5000 0.5000
```



[5]
VASP calculation (PBE) on a relaxed structure of Ca2InCoN.

Computed properties:
Spin magnetization ... 0.00 μB per formula unit
Uncorrected formation energy ... -448.0 meV per atom
D(E_F) ... 4.0 states/eV/f.u.
Crystal system ... tetragonal

Structure (CIF):
```
data_Ca2InCoN
_chemical_formula_sum 'Ca2 In1 Co1 N1'
_cell_length_a 5.1859
_cell_length_b 5.1859
_cell_length_c 3.5996
_cell_angle_alpha 90.00
_cell_angle_beta 90.00
_cell_angle_gamma 90.00
_symmetry_space_group_name_H-M 'P 1'
_symmetry_Int_Tables_number 1
loop_
_symmetry_equiv_pos_as_xyz
'x,y,z'
loop_
_atom_site_label
_atom_site_type_symbol
_atom_site_fract_x
_atom_site_fract_y
_atom_site_fract_z
N1 N 0.0000 0.0000 0.0000
Ca1 Ca 0.5000 0.0000 0.0000
Ca2 Ca 0.0000 0.5000 0.0000
In1 In 0.5000 0.5000 0.5000
Co1 Co 0.0000 0.0000 0.5000
```



[6]
VASP calculation (PBE) on a relaxed structure of NaCaIn2Co.

Computed properties:
Spin magnetization ... 0.00 μB per formula unit
Formation enthalpy at 0 K ... -0.078 eV per atom
D(E_F) ... 3.0 states/eV/f.u.
Crystal system ... tetragonal

Structure (CIF):
```
data_NaCaIn2Co
_chemical_formula_sum 'Na1 Ca1 In2 Co1'
_cell_length_a 5.0434
_cell_length_b 5.0434
_cell_length_c 5.1400
_cell_angle_alpha 90.00
_cell_angle_beta 90.00
_cell_angle_gamma 90.00
_symmetry_space_group_name_H-M 'P 1'
_symmetry_Int_Tables_number 1
loop_
_symmetry_equiv_pos_as_xyz
'x,y,z'
loop_
_atom_site_label
_atom_site_type_symbol
_atom_site_fract_x
_atom_site_fract_y
_atom_site_fract_z
Na1 Na 0.5000 0.5000 0.5000
Co1 Co 0.0000 0.0000 0.0000
In1 In 0.5000 0.0000 0.0000
In2 In 0.0000 0.5000 0.0000
Ca1 Ca 0.0000 0.0000 0.5000
```